No. 1
4
Lattice="5.116 0.000 0.000 2.558 4.430 0.000 2.558 1.477 4.177" Properties=species:S:1:pos:R:3 comment="ErLuZnSn, optimized geometry, DFT PBE" ef_mev_per_atom=-453 pbc="T T T"
Er 0.000 0.000 0.000
Lu 5.116 2.954 2.088
Sn 2.558 1.477 1.044
Zn 7.673 4.430 3.133

---

No. 2
3
Lattice="-0.745 -3.616 0.067 3.525 -0.710 0.841 -3.126 2.664 7.243" Properties=species:S:1:pos:R:3 comment="SrErLu, optimized geometry, DFT PBE" ef_mev_per_atom=167 pbc="T T T"
Lu 0.760 -1.982 3.247
Er -1.104 0.318 4.895
Sr -0.002 0.001 0.008

---

No. 3
4
Lattice="-2.670 -1.659 0.696 -1.876 -1.101 -2.374 4.517 -10.719 -0.779" Properties=species:S:1:pos:R:3 comment="ErLu2Ta, optimized geometry, DFT PBE" ef_mev_per_atom=560 pbc="T T T"
Lu -3.013 -5.250 -1.734
Er -0.014 -6.740 -1.229
Ta 0.000 0.000 0.000
Lu 2.984 -8.229 -0.723

---

No. 4
6
Lattice="6.511 0.000 0.000 3.255 5.638 0.000 3.255 1.879 5.316" Properties=species:S:1:pos:R:3 comment="Tb4ErLu, optimized geometry, DFT PBE" ef_mev_per_atom=257 pbc="T T T"
Tb 4.883 4.699 3.323
Er 0.000 0.000 0.000
Tb 8.138 4.699 3.323
Tb 6.511 3.759 0.665
Lu 3.255 1.879 1.329
Tb 6.511 1.880 3.323

---

No. 5
4
Lattice="3.496 0.000 0.000 1.748 3.027 0.000 1.748 1.009 11.344" Properties=species:S:1:pos:R:3 comment="TbErLu2, optimized geometry, DFT PBE" e_above_lowest_polymorph_ev_per_atom=0.0012 ef_mev_per_atom=30 pbc="T T T"
Er 0.000 0.000 0.000
Lu 1.748 1.009 2.820
Lu 5.244 3.027 8.524
Tb 3.496 2.018 5.672

---

No. 6
4
Lattice="5.568 0.000 0.000 2.784 4.822 0.000 2.784 1.607 4.546" Properties=species:S:1:pos:R:3 comment="TbErLu2, optimized geometry, DFT PBE" e_above_lowest_polymorph_ev_per_atom=0.0911 ef_mev_per_atom=120 pbc="T T T"
Er 5.568 3.214 2.273
Tb 0.000 0.000 0.000
Lu 8.351 4.822 3.409
Lu 2.784 1.607 1.136

---

No. 7
4
Lattice="3.491 0.000 0.000 0.000 3.491 0.000 0.000 0.000 9.861" Properties=species:S:1:pos:R:3 comment="TbErLu2, optimized geometry, DFT PBE" e_above_lowest_polymorph_ev_per_atom=0.0000 ef_mev_per_atom=29 pbc="T T T"
Lu 0.000 0.000 7.411
Lu 0.000 0.000 2.450
Tb 1.746 1.746 4.930
Er 1.746 1.746 0.000

---

No. 8
4
Lattice="-1.347 -1.490 -2.886 -2.426 -1.615 1.967 -6.098 7.751 -1.157" Properties=species:S:1:pos:R:3 comment="Tb2ErLu, optimized geometry, DFT PBE" e_above_lowest_polymorph_ev_per_atom=0.0004 ef_mev_per_atom=24 pbc="T T T"
Er -4.936 2.322 -1.038
Tb -1.515 1.926 -0.288
Tb -4.583 5.825 -0.870
Lu -1.887 -1.553 -0.460

---

No. 9
4
Lattice="-3.656 3.288 -0.003 -2.947 -3.279 -2.232 -1.495 -1.658 4.409" Properties=species:S:1:pos:R:3 comment="TbErLu2, optimized geometry, DFT PBE" e_above_lowest_polymorph_ev_per_atom=0.0004 ef_mev_per_atom=30 pbc="T T T"
Lu -1.474 -1.640 -1.116
Lu -0.747 -0.829 2.205
Tb -4.049 -0.824 1.087
Er -1.828 1.644 -0.002

---

No. 10
4
Lattice="3.518 0.000 0.000 1.759 3.046 0.000 1.759 1.015 11.423" Properties=species:S:1:pos:R:3 comment="Tb2ErLu, optimized geometry, DFT PBE" e_above_lowest_polymorph_ev_per_atom=0.0000 ef_mev_per_atom=24 pbc="T T T"
Tb 1.759 1.015 2.872
Lu 3.518 2.031 5.711
Er 0.000 0.000 0.000
Tb 5.276 3.046 8.551

---

No. 11
4
Lattice="-2.898 4.211 -2.304 0.337 0.946 -5.517 -4.393 -1.100 -3.306" Properties=species:S:1:pos:R:3 comment="Tb2ErLu, optimized geometry, DFT PBE" e_above_lowest_polymorph_ev_per_atom=0.1017 ef_mev_per_atom=125 pbc="T T T"
Lu -3.477 2.029 -5.564
Tb -1.739 1.014 -2.782
Er 0.000 0.000 0.000
Tb -5.216 3.043 -8.346

---

No. 12
4
Lattice="-4.280 -2.422 -0.577 1.270 -1.130 -4.679 2.157 -4.192 1.598" Properties=species:S:1:pos:R:3 comment="Tb2ErLu, optimized geometry, DFT PBE" e_above_lowest_polymorph_ev_per_atom=0.0006 ef_mev_per_atom=24 pbc="T T T"
Tb 0.635 -0.565 -2.339
Er -0.427 -3.872 -1.829
Lu -2.140 -1.211 -0.289
Tb 1.078 -2.096 0.799

---

No. 13
4
Lattice="5.445 0.000 0.000 2.723 4.716 0.000 2.723 1.572 4.446" Properties=species:S:1:pos:R:3 comment="TbErLuZr, optimized geometry, DFT PBE" ef_mev_per_atom=203 pbc="T T T"
Tb 8.168 4.716 3.335
Lu 5.445 3.144 2.223
Er 0.000 0.000 0.000
Zr 2.723 1.572 1.112

---

No. 14
5
Lattice="-0.517 4.849 -2.025 -3.032 1.386 4.094 4.291 1.564 2.649" Properties=species:S:1:pos:R:3 comment="ErLu3Tc, optimized geometry, DFT PBE" ef_mev_per_atom=124 pbc="T T T"
Lu 2.146 0.782 1.324
Tc 0.000 0.000 0.000
Er 0.371 3.899 2.359
Lu -0.258 2.424 -1.012
Lu -1.516 0.693 2.047

---

No. 15
4
Lattice="3.444 0.000 0.000 0.000 3.444 0.000 0.000 0.000 8.557" Properties=species:S:1:pos:R:3 comment="Er2LuTc, optimized geometry, DFT PBE" e_above_lowest_polymorph_ev_per_atom=0.0000 ef_mev_per_atom=1 pbc="T T T"
Lu 1.722 1.722 4.278
Er 0.000 0.000 1.618
Er 0.000 0.000 6.938
Tc 1.722 1.722 0.000

---

No. 16
4
Lattice="-0.686 3.216 0.918 -3.100 1.313 -0.568 -4.308 -1.742 9.226" Properties=species:S:1:pos:R:3 comment="Er2LuTc, optimized geometry, DFT PBE" e_above_lowest_polymorph_ev_per_atom=0.1600 ef_mev_per_atom=161 pbc="T T T"
Lu -4.047 1.394 4.788
Tc 0.000 0.000 0.000
Er -1.870 0.861 1.935
Er -6.224 1.926 7.641

---

No. 17
4
Lattice="5.021 0.000 0.000 2.510 4.348 0.000 2.510 1.449 4.099" Properties=species:S:1:pos:R:3 comment="ErLuTlTc, optimized geometry, DFT PBE" ef_mev_per_atom=-88 pbc="T T T"
Er 2.510 1.449 1.025
Tc 5.021 2.899 2.050
Tl 0.000 0.000 0.000
Lu 7.531 4.348 3.074

---

No. 18
4
Lattice="-1.212 -3.871 -2.669 2.935 -3.865 -0.144 -1.321 -4.133 2.178" Properties=species:S:1:pos:R:3 comment="ErLuZnTc, optimized geometry, DFT PBE" ef_mev_per_atom=-193 pbc="T T T"
Lu 0.301 -8.902 -0.475
Zn 0.000 0.000 0.000
Er 0.100 -2.967 -0.158
Tc 0.201 -5.935 -0.317

---

No. 19
4
Lattice="-1.007 -4.133 0.529 1.128 -2.037 3.599 -6.063 -0.189 4.346" Properties=species:S:1:pos:R:3 comment="ErLuTe2, optimized geometry, DFT PBE" e_above_lowest_polymorph_ev_per_atom=0.0000 e_form_raw_mev_per_atom=-1151 pbc="T T T"
Lu 0.000 0.000 0.000
Er -2.971 -3.180 4.237
Te -4.484 -4.761 6.369
Te -1.458 -1.598 2.105

---

No. 20
4
Lattice="5.292 0.000 0.000 2.646 4.583 0.000 2.646 1.528 4.321" Properties=species:S:1:pos:R:3 comment="ErLuTe2, optimized geometry, DFT PBE" e_above_lowest_polymorph_ev_per_atom=0.1080 e_form_raw_mev_per_atom=-1043 pbc="T T T"
Te 7.938 4.583 3.241
Lu 5.292 3.055 2.161
Er 0.000 0.000 0.000
Te 2.646 1.528 1.080